## w
DFT (GGA-PBEsol) results for a relaxed structure of CaTc2Ni.

Unit cell a=2.6220 b=2.6220 c=8.6814 alpha=90.00 beta=90.00 gamma=90.00
Atoms (fractional coordinates):
Tc 0.0000 0.0000 0.7080
Ca 0.5000 0.5000 0.0000
Tc 0.0000 0.0000 0.2920
Ni 0.5000 0.5000 0.5000

## Properties
Density of states at the Fermi level: 0.868 states/eV/atom
Symmetry: No. 123

## x
DFT (GGA-PBEsol) results for a relaxed structure of CaTc2Ni.

Unit cell a=3.0522 b=3.0522 c=7.0345 alpha=90.00 beta=90.00 gamma=90.00
Atoms (fractional coordinates):
Tc 0.5000 0.5000 0.1855
Ca 0.0000 0.0000 0.5115
Ni 0.5000 0.5000 0.8005
Tc 0.0000 0.0000 0.0025

## Properties
Density of states at the Fermi level: 1.324 states/eV/atom
Symmetry: No. 99

Stability, descending: x, w